# 1
Computed, not measured: a PBEsol-optimized structure of HfNbCuAu2 at the meta-GGA SCAN level of DFT.

Cell lengths 4.959, 4.959, 4.613 Å; angles 90.00, 90.00, 90.00 degrees
Space group P4/mmm (No. 123)
Symmetry-distinct sites (fractional):
Hf1 0.000 0.000 0.000 x1
Nb1 0.500 0.500 0.500 x1
Cu1 0.000 0.000 0.500 x1
Au1 0.000 0.500 0.000 x2

Values from the calculation:
formation energy	109	kJ/mol of atoms


# 2
Computed, not measured: a PBEsol-optimized structure of CuHg2Au at the meta-GGA SCAN level of DFT.

Cell lengths 3.925, 4.223, 4.238 Å; angles 90.00, 90.00, 90.00 degrees
Space group Pmmm (No. 47)
Symmetry-distinct sites (fractional):
Cu1 0.000 0.000 0.000 x1
Hg1 0.500 0.000 0.500 x1
Hg2 0.500 0.500 0.000 x1
Au1 0.000 0.500 0.500 x1

Values from the calculation:
formation energy	18	kJ/mol of atoms


# 3
Computed, not measured: a PBEsol-optimized structure of Cu2HgAu2 at the meta-GGA SCAN level of DFT.

Cell lengths 3.524, 3.524, 13.429 Å; angles 90.00, 90.00, 90.00 degrees
Space group I4/mmm (No. 139)
Symmetry-distinct sites (fractional):
Cu1 0.000 0.500 0.250 x4
Hg1 0.000 0.000 0.000 x2
Au1 0.000 0.000 0.392 x4

Values from the calculation:
formation energy	9	kJ/mol of atoms


# 4
Computed, not measured: a PBEsol-optimized structure of Cu2HgAu at the meta-GGA SCAN level of DFT.

Cell lengths 9.503, 2.909, 4.538 Å; angles 90.00, 107.32, 90.00 degrees
Space group Cm (No. 8)
Symmetry-distinct sites (fractional):
Cu1 0.000 0.000 0.000 x2
Cu2 0.212 0.500 0.296 x2
Hg1 0.467 0.000 0.480 x2
Au1 0.249 0.000 0.824 x2

Values from the calculation:
formation energy	6	kJ/mol of atoms


# 5
Computed, not measured: a PBEsol-optimized structure of CuHg2Au at the meta-GGA SCAN level of DFT.

Cell lengths 6.562, 6.562, 6.562 Å; angles 90.00, 90.00, 90.00 degrees
Space group F-43m (No. 216)
Symmetry-distinct sites (fractional):
Cu1 0.000 0.000 0.000 x4
Hg1 0.000 0.000 0.500 x4
Hg2 0.250 0.250 0.250 x4
Au1 0.250 0.250 0.750 x4

Values from the calculation:
formation energy	21	kJ/mol of atoms


# 6
Computed, not measured: a PBEsol-optimized structure of Cu2HgAu2 at the meta-GGA SCAN level of DFT.

Cell lengths 7.409, 7.409, 2.912 Å; angles 90.00, 90.00, 90.00 degrees
Space group P4/mbm (No. 127)
Symmetry-distinct sites (fractional):
Cu1 0.161 0.339 0.000 x4
Hg1 0.000 0.000 0.500 x2
Au1 0.136 0.636 0.500 x4

Values from the calculation:
formation energy	3	kJ/mol of atoms


# 7
Computed, not measured: a PBEsol-optimized structure of Cu2HgAu at the meta-GGA SCAN level of DFT.

Cell lengths 6.001, 6.189, 3.215 Å; angles 90.00, 90.00, 90.00 degrees
Space group Cmmm (No. 65)
Symmetry-distinct sites (fractional):
Cu1 0.250 0.250 0.000 x4
Hg1 0.000 0.000 0.500 x2
Au1 0.000 0.500 0.500 x2

Values from the calculation:
formation energy	5	kJ/mol of atoms


# 8
Computed, not measured: a PBEsol-optimized structure of CuHgPb2Au at the meta-GGA SCAN level of DFT.

Cell lengths 5.545, 5.545, 4.748 Å; angles 90.00, 90.00, 90.00 degrees
Space group P4/mmm (No. 123)
Symmetry-distinct sites (fractional):
Cu1 0.000 0.000 0.000 x1
Hg1 0.000 0.000 0.500 x1
Pb1 0.000 0.500 0.500 x2
Au1 0.500 0.500 0.000 x1

Values from the calculation:
formation energy	69	kJ/mol of atoms


# 9
Computed, not measured: a PBEsol-optimized structure of HoCu4Au at the meta-GGA SCAN level of DFT.

Cell lengths 6.983, 6.983, 6.983 Å; angles 90.00, 90.00, 90.00 degrees
Space group F-43m (No. 216)
Symmetry-distinct sites (fractional):
Ho1 0.000 0.000 0.000 x4
Cu1 0.124 0.124 0.376 x16
Au1 0.250 0.250 0.750 x4

Values from the calculation:
formation energy	-39	kJ/mol of atoms


# 10
Computed, not measured: a PBEsol-optimized structure of CuAuI2 at the meta-GGA SCAN level of DFT.

Cell lengths 6.175, 6.175, 12.164 Å; angles 90.00, 90.00, 90.00 degrees
Space group I-42d (No. 122)
Symmetry-distinct sites (fractional):
Cu1 0.000 0.000 0.000 x4
Au1 0.000 0.000 0.500 x4
I1 0.224 0.250 0.125 x8

Values from the calculation:
formation energy from raw total energies	6	kJ/mol of formula units


# 11
Computed, not measured: a PBEsol-optimized structure of CuAu2I at the meta-GGA SCAN level of DFT.

Cell lengths 6.731, 6.731, 6.731 Å; angles 90.00, 90.00, 90.00 degrees
Space group Fm-3m (No. 225)
Symmetry-distinct sites (fractional):
Cu1 0.000 0.000 0.000 x4
Au1 0.250 0.250 0.250 x8
I1 0.000 0.000 0.500 x4

Values from the calculation:
formation energy from raw total energies	241	kJ/mol of formula units


# 12
Computed, not measured: a PBEsol-optimized structure of CuAuI3 at the meta-GGA SCAN level of DFT.

Cell lengths 5.523, 5.523, 5.523 Å; angles 90.00, 90.00, 90.00 degrees
Space group Pm-3m (No. 221)
Symmetry-distinct sites (fractional):
Cu1 0.000 0.000 0.000 x1
Au1 0.500 0.500 0.500 x1
I1 0.000 0.500 0.500 x3

Values from the calculation:
formation energy from raw total energies	259	kJ/mol of formula units


# 13
Computed, not measured: a PBEsol-optimized structure of La2CuAuI at the meta-GGA SCAN level of DFT.

Cell lengths 5.677, 5.677, 5.532 Å; angles 90.00, 90.00, 90.00 degrees
Space group P4/mmm (No. 123)
Symmetry-distinct sites (fractional):
La1 0.000 0.500 0.000 x2
Cu1 0.000 0.000 0.500 x1
Au1 0.500 0.500 0.000 x1
I1 0.500 0.500 0.500 x1

Values from the calculation:
formation energy from raw total energies	68	kJ/mol of formula units


# 14
Computed, not measured: a PBEsol-optimized structure of CuAuI2N at the meta-GGA SCAN level of DFT.

Cell lengths 5.746, 5.746, 3.733 Å; angles 90.00, 90.00, 90.00 degrees
Space group P4/mmm (No. 123)
Symmetry-distinct sites (fractional):
Cu1 0.000 0.000 0.000 x1
Au1 0.500 0.500 0.500 x1
I1 0.000 0.500 0.500 x2
N1 0.500 0.500 0.000 x1

Values from the calculation:
formation energy from raw total energies	525	kJ/mol of formula units


# 15
Computed, not measured: a PBEsol-optimized structure of CuAuI2O at the meta-GGA SCAN level of DFT.

Cell lengths 5.572, 5.572, 3.894 Å; angles 90.00, 90.00, 90.00 degrees
Space group P4/mmm (No. 123)
Symmetry-distinct sites (fractional):
Cu1 0.000 0.000 0.000 x1
Au1 0.500 0.500 0.500 x1
I1 0.000 0.500 0.500 x2
O1 0.500 0.500 0.000 x1

Values from the calculation:
formation energy from raw total energies	232	kJ/mol of formula units


# 16
Computed, not measured: a PBEsol-optimized structure of InCuAu2 at the meta-GGA SCAN level of DFT.

Cell lengths 8.888, 4.045, 4.164 Å; angles 90.00, 117.81, 90.00 degrees
Space group C2/m (No. 12)
Symmetry-distinct sites (fractional):
In1 0.000 0.000 0.000 x2
Cu1 0.000 0.500 0.500 x2
Au1 0.246 0.000 0.746 x4

Values from the calculation:
formation energy	-11	kJ/mol of atoms


# 17
Computed, not measured: a PBEsol-optimized structure of InCu4Au at the meta-GGA SCAN level of DFT.

Cell lengths 6.915, 6.915, 6.915 Å; angles 90.00, 90.00, 90.00 degrees
Space group F-43m (No. 216)
Symmetry-distinct sites (fractional):
In1 0.000 0.000 0.000 x4
Cu1 0.125 0.125 0.375 x16
Au1 0.250 0.250 0.750 x4

Values from the calculation:
formation energy	-2	kJ/mol of atoms


# 18
Computed, not measured: a PBEsol-optimized structure of InCu2Au at the meta-GGA SCAN level of DFT.

Cell lengths 3.871, 3.871, 8.038 Å; angles 90.00, 90.00, 90.00 degrees
Space group I-4m2 (No. 119)
Symmetry-distinct sites (fractional):
In1 0.000 0.000 0.000 x2
Cu1 0.000 0.000 0.500 x2
Cu2 0.000 0.500 0.750 x2
Au1 0.000 0.500 0.250 x2

Values from the calculation:
formation energy	-7	kJ/mol of atoms


# 19
Computed, not measured: a PBEsol-optimized structure of InCuAu2 at the meta-GGA SCAN level of DFT.

Cell lengths 3.984, 3.995, 8.307 Å; angles 90.00, 90.00, 90.00 degrees
Space group Imm2 (No. 44)
Symmetry-distinct sites (fractional):
In1 0.000 0.000 0.000 x2
Cu1 0.000 0.500 0.750 x2
Au1 0.000 0.000 0.499 x2
Au2 0.000 0.500 0.250 x2

Values from the calculation:
formation energy	-12	kJ/mol of atoms


# 20
Computed, not measured: a PBEsol-optimized structure of InCuAu2 at the meta-GGA SCAN level of DFT.

Cell lengths 6.434, 6.434, 6.434 Å; angles 90.00, 90.00, 90.00 degrees
Space group F-43m (No. 216)
Symmetry-distinct sites (fractional):
In1 0.000 0.000 0.000 x4
Cu1 0.250 0.250 0.750 x4
Au1 0.000 0.000 0.500 x4
Au2 0.250 0.250 0.250 x4

Values from the calculation:
formation energy	-6	kJ/mol of atoms